[1]
Density functional theory data (PBE) for crystalline Pr3HgAu4 at its relaxed geometry.

Cell and atoms, written as CIF:
```
data_Pr3HgAu4
_chemical_formula_sum 'Pr6 Hg2 Au8'
_cell_length_a 4.063
_cell_length_b 7.294
_cell_length_c 14.797
_cell_angle_alpha 90.00
_cell_angle_beta 90.00
_cell_angle_gamma 90.00
_space_group_name_H-M_alt 'I m m m'
_space_group_IT_number 71
_space_group_name_Hall '-I 2 2'
loop_
_atom_site_label
_atom_site_fract_x
_atom_site_fract_y
_atom_site_fract_z
Pr1 0.000 0.000 0.000
Pr2 0.000 0.500 0.185
Hg1 0.000 0.000 0.500
Au1 0.000 0.304 0.368
```

## Properties
calculated formation energy	-0.607	eV/atom

=====

[2]
Density functional theory data (PBE) for crystalline PmAlNiRu at its relaxed geometry.

Cell and atoms, written as CIF:
```
data_PmAlNiRu
_chemical_formula_sum 'Pm4 Al4 Ni4 Ru4'
_cell_length_a 6.479
_cell_length_b 6.479
_cell_length_c 6.479
_cell_angle_alpha 90.00
_cell_angle_beta 90.00
_cell_angle_gamma 90.00
_space_group_name_H-M_alt 'F -4 3 m'
_space_group_IT_number 216
_space_group_name_Hall 'F -4 2 3'
loop_
_atom_site_label
_atom_site_fract_x
_atom_site_fract_y
_atom_site_fract_z
Pm1 0.000 0.000 0.000
Al1 0.000 0.000 0.500
Ni1 0.250 0.250 0.750
Ru1 0.250 0.250 0.250
```

## Properties
calculated formation energy	-0.280	eV/atom

=====

[3]
Density functional theory data (PBE) for crystalline Dy2Ho3TmBi6 at its relaxed geometry.

Cell and atoms, written as CIF:
```
data_Dy2Ho3TmBi6
_chemical_formula_sum 'Dy4 Ho6 Tm2 Bi12'
_cell_length_a 19.425
_cell_length_b 4.457
_cell_length_c 8.916
_cell_angle_alpha 90.00
_cell_angle_beta 103.20
_cell_angle_gamma 90.00
_space_group_name_H-M_alt 'C 1 2/m 1'
_space_group_IT_number 12
loop_
_space_group_symop_operation_xyz
'x,y,z'
'-x,-y,-z'
'-x,y,-z'
'x,-y,z'
'x+1/2,y+1/2,z'
'-x+1/2,-y+1/2,-z'
'-x+1/2,y+1/2,-z'
'x+1/2,-y+1/2,z'
loop_
_atom_site_label
_atom_site_fract_x
_atom_site_fract_y
_atom_site_fract_z
Dy1 0.166 0.000 0.333
Ho1 0.000 0.500 0.500
Ho2 0.167 0.000 0.833
Tm1 0.000 0.500 0.000
Bi1 0.001 0.000 0.752
Bi2 0.166 0.500 0.082
Bi3 0.167 0.500 0.584
```

## Properties
calculated formation energy	-0.835	eV/atom

=====

Which D(E_F) belongs to each record? In order, 0.72, 0.60, 0.17 states/eV/atom.